{
  "formula": "La2TbPdO5",
  "functional": "PBE",
  "state": "optimized geometry",
  "dos_ef_per_ev_cell": 0.33,
  "sg": "No. 127",
  "dft_energy_ev_per_atom": -7.390,
  "e_form_raw_ev_per_atom": -2.45,
  "crystal_system": "tetragonal",
  "density_g_cm3": 7.78,
  "lattice_angstrom": [[6.6984, 0.0000, 0.0000], [0.0000, 6.6984, 0.0000], [0.0000, 0.0000, 5.9261]],
  "species": ["La", "La", "La", "La", "Tb", "Tb", "Pd", "Pd", "O", "O", "O", "O", "O", "O", "O", "O", "O", "O"],
  "frac_coords": [[0.1628, 0.3372, 0.0000], [0.3372, 0.8372, 0.0000], [0.6628, 0.1628, 0.0000], [0.8372, 0.6628, 0.0000], [0.0000, 0.0000, 0.5000], [0.5000, 0.5000, 0.5000], [0.0000, 0.5000, 0.5000], [0.5000, 0.0000, 0.5000], [0.0000, 0.0000, 0.0000], [0.1725, 0.6725, 0.2701], [0.1725, 0.6725, 0.7299], [0.3275, 0.1725, 0.2701], [0.3275, 0.1725, 0.7299], [0.5000, 0.5000, 0.0000], [0.6725, 0.8275, 0.2701], [0.6725, 0.8275, 0.7299], [0.8275, 0.3275, 0.2701], [0.8275, 0.3275, 0.7299]]
}